1.
DFT (GGA-PBE) results for crystalline SrMgSb2 at its relaxed geometry.

Lattice parameters (Å, degrees): 4.9767 4.9767 6.6583 74.21 74.21 51.24
Atoms (fractional coordinates):
1 Mg 0.2500 0.2500 0.2500
2 Sb 0.5136 0.5136 0.4429
3 Sb 0.9864 0.9864 0.0571
4 Sr 0.7500 0.7500 0.7500

Properties
- theoretical density (g/cm3) = 4.814
- E_form (uncorrected) (eV/atom) = -0.497
- M_tot (μB/f.u.) = 0.00

---

2.
DFT (GGA-PBE) results for crystalline TbPaTlHg at its relaxed geometry.

Lattice parameters (Å, degrees): 5.3434 5.3434 5.3434 60.00 60.00 60.00
Site moments in Bohr magnetons follow the coordinates.
Atoms (fractional coordinates):
1 Hg 0.5000 0.5000 0.5000  0.02
2 Tb 0.2500 0.2500 0.2500  0.31
3 Tl 0.0000 0.0000 0.0000  0.00
4 Pa 0.7500 0.7500 0.7500  1.20

Properties
- theoretical density (g/cm3) = 12.236
- energy relative to the elements (eV per atom) = 0.010
- M_tot (μB/f.u.) = 1.98

---

3.
DFT (GGA-PBE) results for crystalline La8Y6Er at its relaxed geometry.

Lattice parameters (Å, degrees): 6.7471 9.4604 9.4604 120.00 90.00 90.00
Atoms (fractional coordinates):
1 Y 0.6490 0.9023 0.5654
2 Y 0.6490 0.4346 0.3369
3 Y 0.3510 0.5654 0.6631
4 Y 0.3510 0.0977 0.4346
5 Y 0.3510 0.3369 0.9023
6 Y 0.6490 0.6631 0.0977
7 Er 0.5000 0.0000 0.0000
8 La 0.8818 0.3333 0.6667
9 La 0.8349 0.2471 0.9553
10 La 0.8349 0.0447 0.2919
11 La 0.1651 0.9553 0.7081
12 La 0.1651 0.2919 0.2471
13 La 0.8349 0.7081 0.7529
14 La 0.1182 0.6667 0.3333
15 La 0.1651 0.7529 0.0447

Properties
- theoretical density (g/cm3) = 5.753
- energy relative to the elements (eV per atom) = 0.154
- M_tot (μB/f.u.) = 0.00

---

4.
DFT (GGA-PBE) results for crystalline BeGa2Br8 at its relaxed geometry.

Lattice parameters (Å, degrees): 6.3971 7.9835 7.9835 81.59 89.83 89.83
Atoms (fractional coordinates):
1 Ga 0.3565 0.2031 0.2031
2 Ga 0.6435 0.7969 0.7969
3 Br 0.7216 0.1941 0.1941
4 Br 0.8051 0.7476 0.0740
5 Br 0.1949 0.2524 0.9260
6 Br 0.2784 0.8059 0.8059
7 Br 0.7582 0.6164 0.6164
8 Br 0.2418 0.3836 0.3836
9 Br 0.1949 0.9260 0.2524
10 Br 0.8051 0.0740 0.7476
11 Be 0.0000 0.0000 0.0000

Properties
- theoretical density (g/cm3) = 3.243
- E_form (uncorrected) (eV/atom) = -0.775
- M_tot (μB/f.u.) = 0.00

---

5.
DFT (GGA-PBE) results for crystalline BeIr2Pb at its relaxed geometry.

Lattice parameters (Å, degrees): 3.9244 3.9244 6.6167 80.63 80.63 43.47
Atoms (fractional coordinates):
1 Ir 0.3281 0.3281 0.1752
2 Ir 0.9636 0.9636 0.8504
3 Pb 0.5598 0.5598 0.4748
4 Be 0.6485 0.6485 0.9996

Properties
- theoretical density (g/cm3) = 14.451
- excess energy over the best structure of this formula in the dataset (eV per atom) = 0.021
- energy relative to the elements (eV per atom) = 0.141
- M_tot (μB/f.u.) = 0.00

---

6.
DFT (GGA-PBE) results for crystalline Mg2PI at its relaxed geometry.

Lattice parameters (Å, degrees): 5.0422 5.0422 5.0422 60.00 60.00 60.00
Atoms (fractional coordinates):
1 Mg 0.2500 0.2500 0.2500
2 Mg 0.7500 0.7500 0.7500
3 P 0.0000 0.0000 0.0000
4 I 0.5000 0.5000 0.5000

Properties
- theoretical density (g/cm3) = 3.783
- E_form (uncorrected) (eV/atom) = -0.039
- M_tot (μB/f.u.) = 0.00

---

7.
DFT (GGA-PBE) results for crystalline NaH9O5 at its relaxed geometry.

Lattice parameters (Å, degrees): 4.1866 7.8291 9.3660 81.47 78.76 75.76
Site moments in Bohr magnetons follow the coordinates.
Atoms (fractional coordinates):
1 H 0.4584 0.8347 0.8318  0.00
2 H 0.0712 0.2147 0.6207  0.00
3 H 0.9323 0.7864 0.3800  0.00
4 H 0.7171 0.3997 0.1676  0.00
5 H 0.8845 0.9781 0.2921  0.00
6 H 0.5428 0.1635 0.1700  0.00
7 H 0.5467 0.4988 0.0285  0.00
8 H 0.8345 0.8344 0.8299  0.00
9 H 0.0703 0.4990 0.9728  0.00
10 H 0.9143 0.5567 0.5879  0.00
11 H 0.2669 0.5992 0.8337  0.00
12 H 0.0992 0.4440 0.4041  0.00
13 H 0.1195 0.0220 0.7073  0.00
14 H 0.5545 0.2345 0.3540  0.00
15 H 0.4474 0.7634 0.6478  0.00
16 H 0.9692 0.2752 0.3776  0.00
17 H 0.0299 0.7269 0.6222  0.00
18 H 0.1665 0.1665 0.1696  0.00
19 Na 0.5291 0.8114 0.1465  0.00
20 Na 0.4777 0.1886 0.8540  0.00
21 O 0.8871 0.6837 0.5601  0.01
22 O 0.2303 0.7895 0.7141  0.06
23 O 0.1108 0.3196 0.4396  0.00
24 O 0.9530 0.8481 0.2790  0.00
25 O 0.2895 0.4889 0.9051  0.01
26 O 0.6967 0.5102 0.0961  0.01
27 O 0.7698 0.2106 0.2865  0.05
28 O 0.6099 0.8690 0.8879  0.01
29 O 0.3919 0.1308 0.1126  0.01
30 O 0.0514 0.1518 0.7211  0.00

Properties
- theoretical density (g/cm3) = 1.282
- excess energy over the best structure of this formula in the dataset (eV per atom) = 0.016
- M_tot (μB/f.u.) = 0.09

---

8.
DFT (GGA-PBE) results for crystalline NbTl3In at its relaxed geometry.

Lattice parameters (Å, degrees): 5.5357 5.5357 5.5357 90.00 90.00 90.00
Atoms (fractional coordinates):
1 Tl 0.5000 0.0000 0.0000
2 Tl 0.0000 0.0000 0.5000
3 Tl 0.0000 0.5000 0.0000
4 Nb 0.0000 0.0000 0.0000
5 In 0.5000 0.5000 0.5000

Properties
- theoretical density (g/cm3) = 8.036
- excess energy over the best structure of this formula in the dataset (eV per atom) = 0.000
- energy relative to the elements (eV per atom) = 0.541
- M_tot (μB/f.u.) = 0.00

---

9.
DFT (GGA-PBE) results for crystalline KY2Fe at its relaxed geometry.

Lattice parameters (Å, degrees): 5.4876 5.4876 5.4876 60.00 60.00 60.00
Site moments in Bohr magnetons follow the coordinates.
Atoms (fractional coordinates):
1 Y 0.0000 0.0000 0.0000  -0.26
2 Y 0.7500 0.7500 0.7500  -0.31
3 K 0.2500 0.2500 0.2500  -0.01
4 Fe 0.5000 0.5000 0.5000  2.96

Properties
- theoretical density (g/cm3) = 3.876
- excess energy over the best structure of this formula in the dataset (eV per atom) = 0.763
- energy relative to the elements (eV per atom) = 0.971
- M_tot (μB/f.u.) = 2.00

---

10.
DFT (GGA-PBE) results for crystalline Pm8DyCd2 at its relaxed geometry.

Lattice parameters (Å, degrees): 5.2377 8.9542 8.9542 75.32 81.27 81.27
Atoms (fractional coordinates):
1 Dy 0.0000 0.0000 0.0000
2 Pm 0.7890 0.1626 0.6355
3 Pm 0.2917 0.4164 0.4164
4 Pm 0.1272 0.7612 0.7612
5 Pm 0.2110 0.8374 0.3645
6 Pm 0.8728 0.2388 0.2388
7 Pm 0.2110 0.3645 0.8374
8 Pm 0.7083 0.5836 0.5836
9 Pm 0.7890 0.6355 0.1626
10 Cd 0.5503 0.8817 0.8817
11 Cd 0.4497 0.1183 0.1183

Properties
- theoretical density (g/cm3) = 6.444
- excess energy over the best structure of this formula in the dataset (eV per atom) = 0.349
- energy relative to the elements (eV per atom) = 0.278
- M_tot (μB/f.u.) = 0.00

---

11.
DFT (GGA-PBE) results for crystalline CsU2Pd2S6 at its relaxed geometry.

Lattice parameters (Å, degrees): 7.1523 7.0524 8.0492 122.06 87.82 63.24
Site moments in Bohr magnetons follow the coordinates.
Atoms (fractional coordinates):
1 S 0.4283 0.7709 0.0303  -0.05
2 S 0.1555 0.7996 0.5450  -0.05
3 S 0.5717 0.2291 0.9697  -0.05
4 S 0.9976 0.3917 0.1294  -0.06
5 S 0.0024 0.6083 0.8706  -0.06
6 S 0.8445 0.2004 0.4550  -0.05
7 Pd 0.2044 0.7784 0.8216  -0.14
8 Pd 0.7956 0.2216 0.1784  -0.14
9 U 0.8372 0.3235 0.8309  0.82
10 U 0.1628 0.6765 0.1691  0.82
11 Cs 0.5000 0.0000 0.5000  0.00

Properties
- theoretical density (g/cm3) = 5.890
- E_form (uncorrected) (eV/atom) = -0.956
- M_tot (μB/f.u.) = 0.96

---

12.
DFT (GGA-PBE) results for crystalline CaCrBRh2 at its relaxed geometry.

Lattice parameters (Å, degrees): 4.7135 4.4265 4.7135 90.00 90.00 90.00
Site moments in Bohr magnetons follow the coordinates.
Atoms (fractional coordinates):
1 Rh 0.0000 0.0000 0.5000  -0.10
2 Rh 0.5000 0.0000 0.0000  -0.10
3 Ca 0.0000 0.0000 0.0000  0.02
4 Cr 0.5000 0.5000 0.5000  0.58
5 B 0.0000 0.5000 0.0000  -0.01

Properties
- theoretical density (g/cm3) = 5.212
- energy relative to the elements (eV per atom) = 2.352
- M_tot (μB/f.u.) = 0.48

---

13.
DFT (GGA-PBE) results for crystalline PrSn2Bi3 at its relaxed geometry.

Lattice parameters (Å, degrees): 4.6958 7.0676 11.8345 90.00 90.00 90.00
Atoms (fractional coordinates):
1 Bi 0.5000 0.2102 0.0319
2 Bi 0.5000 0.6880 0.2936
3 Bi 0.5000 0.7102 0.9681
4 Bi 0.5000 0.1880 0.7064
5 Bi 0.0000 0.7845 0.6285
6 Bi 0.0000 0.2845 0.3715
7 Pr 0.0000 0.5046 0.1179
8 Pr 0.0000 0.0046 0.8821
9 Sn 0.5000 0.5421 0.5467
10 Sn 0.5000 0.0421 0.4533
11 Sn 0.0000 0.4719 0.8130
12 Sn 0.0000 0.9719 0.1870

Properties
- theoretical density (g/cm3) = 8.500
- energy relative to the elements (eV per atom) = -0.261
- M_tot (μB/f.u.) = 0.00

---

14.
DFT (GGA-PBE) results for crystalline Be3VBr at its relaxed geometry.

Lattice parameters (Å, degrees): 4.6836 4.6836 4.6836 90.00 90.00 90.00
Site moments in Bohr magnetons follow the coordinates.
Atoms (fractional coordinates):
1 Be 0.5000 0.0000 0.0000  0.10
2 Be 0.0000 0.0000 0.5000  0.10
3 Be 0.0000 0.5000 0.0000  0.10
4 V 0.0000 0.0000 0.0000  2.64
5 Br 0.5000 0.5000 0.5000  0.11

Properties
- theoretical density (g/cm3) = 2.552
- excess energy over the best structure of this formula in the dataset (eV per atom) = 0.016
- E_form (uncorrected) (eV/atom) = 1.632
- M_tot (μB/f.u.) = 4.05

---

15.
DFT (GGA-PBE) results for crystalline NdHo5Sc at its relaxed geometry.

Lattice parameters (Å, degrees): 3.5534 9.1872 13.6698 102.83 90.00 90.00
Atoms (fractional coordinates):
1 Ho 0.7500 0.5816 0.9172
2 Ho 0.2500 0.0070 0.3730
3 Ho 0.7500 0.6505 0.2792
4 Ho 0.2500 0.6696 0.4930
5 Ho 0.2500 0.4184 0.0828
6 Ho 0.7500 0.2041 0.8830
7 Ho 0.2500 0.3495 0.7208
8 Ho 0.2500 0.7959 0.1170
9 Ho 0.7500 0.3304 0.5070
10 Ho 0.7500 0.9930 0.6270
11 Nd 0.7500 0.1113 0.1347
12 Nd 0.2500 0.8887 0.8653
13 Sc 0.7500 0.6485 0.6921
14 Sc 0.2500 0.3515 0.3079

Properties
- theoretical density (g/cm3) = 7.738
- excess energy over the best structure of this formula in the dataset (eV per atom) = 0.000
- energy relative to the elements (eV per atom) = 0.066
- M_tot (μB/f.u.) = 0.00

---

16.
DFT (GGA-PBE) results for crystalline YZn3Au9 at its relaxed geometry.

Lattice parameters (Å, degrees): 5.3724 7.0181 7.1942 83.11 68.08 71.25
Atoms (fractional coordinates):
1 Zn 0.5000 0.5000 0.0000
2 Zn 0.0000 0.0000 0.5000
3 Zn 0.5000 0.0000 0.5000
4 Au 0.9642 0.6703 0.3523
5 Au 0.3165 0.6703 0.6477
6 Au 0.0358 0.3297 0.6477
7 Au 0.6881 0.7886 0.7848
8 Au 0.6835 0.3297 0.3523
9 Au 0.3119 0.2114 0.2152
10 Au 0.5270 0.2114 0.7848
11 Au 0.0000 0.5000 0.0000
12 Au 0.4730 0.7886 0.2152
13 Y 0.0000 0.0000 0.0000

Properties
- theoretical density (g/cm3) = 14.341
- energy relative to the elements (eV per atom) = -0.313
- M_tot (μB/f.u.) = 0.00

---

17.
DFT (GGA-PBE) results for crystalline Tm4BeI5 at its relaxed geometry.

Lattice parameters (Å, degrees): 4.0157 8.6111 11.1533 89.68 100.37 90.00
Atoms (fractional coordinates):
1 I 0.5000 0.5000 0.0000
2 I 0.1488 0.2516 0.2975
3 I 0.1486 0.7440 0.2972
4 I 0.8512 0.7484 0.7025
5 I 0.8514 0.2560 0.7028
6 Tm 0.0000 0.7940 0.0000
7 Tm 0.0000 0.2060 0.0000
8 Tm 0.6159 0.9983 0.2319
9 Tm 0.3841 0.0017 0.7681
10 Be 0.5000 0.0000 0.0000

Properties
- theoretical density (g/cm3) = 5.775
- E_form (uncorrected) (eV/atom) = -0.885
- M_tot (μB/f.u.) = 0.00

---

18.
DFT (GGA-PBE) results for crystalline PrHoTl6 at its relaxed geometry.

Lattice parameters (Å, degrees): 4.8100 4.8100 9.6090 90.00 90.00 90.00
Atoms (fractional coordinates):
1 Ho 0.0000 0.0000 0.5000
2 Tl 0.5000 0.5000 0.5000
3 Tl 0.5000 0.0000 0.2553
4 Tl 0.0000 0.5000 0.7447
5 Tl 0.0000 0.5000 0.2553
6 Tl 0.5000 0.0000 0.7447
7 Tl 0.5000 0.5000 0.0000
8 Pr 0.0000 0.0000 0.0000

Properties
- theoretical density (g/cm3) = 11.444
- energy relative to the elements (eV per atom) = -0.272
- M_tot (μB/f.u.) = 0.00

---

19.
DFT (GGA-PBE) results for crystalline AcCoNiBi at its relaxed geometry.

Lattice parameters (Å, degrees): 4.9546 4.9546 4.9546 60.00 60.00 60.00
Site moments in Bohr magnetons follow the coordinates.
Atoms (fractional coordinates):
1 Co 0.2500 0.2500 0.2500  1.26
2 Bi 0.0000 0.0000 0.0000  0.03
3 Ac 0.5000 0.5000 0.5000  -0.04
4 Ni 0.7500 0.7500 0.7500  0.26

Properties
- theoretical density (g/cm3) = 10.689
- energy relative to the elements (eV per atom) = 0.067
- M_tot (μB/f.u.) = 1.45

---

20.
DFT (GGA-PBE) results for crystalline Er4SiTe at its relaxed geometry.

Lattice parameters (Å, degrees): 7.9675 7.9675 7.9675 106.22 106.22 116.18
Atoms (fractional coordinates):
1 Er 0.7158 0.5219 0.1939
2 Er 0.7637 0.9790 0.7848
3 Er 0.1942 0.9790 0.2152
4 Er 0.3279 0.5219 0.8061
5 Er 0.2719 0.5779 0.3061
6 Er 0.7290 0.4442 0.7152
7 Er 0.7290 0.0137 0.2848
8 Er 0.2719 0.9658 0.6939
9 Te 0.9885 0.4885 0.5000
10 Te 0.2385 0.2385 0.0000
11 Si 0.7598 0.7598 0.0000
12 Si 0.5098 0.0098 0.5000

Properties
- theoretical density (g/cm3) = 7.109
- E_form (uncorrected) (eV/atom) = -0.402
- M_tot (μB/f.u.) = 0.00

---

21.
DFT (GGA-PBE) results for crystalline PmGd2Sc at its relaxed geometry.

Lattice parameters (Å, degrees): 4.9823 4.9575 4.9575 90.00 90.00 90.00
Site moments in Bohr magnetons follow the coordinates.
Atoms (fractional coordinates):
1 Gd 0.0000 0.0000 0.5000  -7.15
2 Gd 0.0000 0.5000 0.0000  -7.15
3 Pm 0.5000 0.5000 0.5000  0.05
4 Sc 0.5000 0.0000 0.0000  0.05

Properties
- theoretical density (g/cm3) = 6.841
- excess energy over the best structure of this formula in the dataset (eV per atom) = 0.000
- energy relative to the elements (eV per atom) = 0.043
- M_tot (μB/f.u.) = 14.62

---

22.
DFT (GGA-PBE) results for crystalline Pr2NpUP4 at its relaxed geometry.

Lattice parameters (Å, degrees): 4.0484 7.0044 7.1172 109.19 90.00 90.00
Site moments in Bohr magnetons follow the coordinates.
Atoms (fractional coordinates):
1 P 0.5000 0.2414 0.2300  -0.06
2 P 0.0000 0.2549 0.7703  -0.07
3 P 0.0000 0.7451 0.2297  -0.07
4 P 0.5000 0.7586 0.7700  -0.06
5 Np 0.5000 0.5000 0.0000  3.58
6 U 0.0000 0.0000 0.0000  1.93
7 Pr 0.5000 0.0000 0.5000  0.03
8 Pr 0.0000 0.5000 0.5000  0.04

Properties
- theoretical density (g/cm3) = 7.673
- energy relative to the elements (eV per atom) = -1.211
- M_tot (μB/f.u.) = 5.84

---

23.
DFT (GGA-PBE) results for crystalline Y2Sn2Pd at its relaxed geometry.

Lattice parameters (Å, degrees): 7.1909 7.1909 4.7511 90.00 90.00 90.00
Atoms (fractional coordinates):
1 Y 0.8321 0.3321 0.5000
2 Y 0.3321 0.1679 0.5000
3 Y 0.6679 0.8321 0.5000
4 Y 0.1679 0.6679 0.5000
5 Sn 0.8552 0.6448 0.0000
6 Sn 0.3552 0.8552 0.0000
7 Sn 0.1448 0.3552 0.0000
8 Sn 0.6448 0.1448 0.0000
9 Pd 0.0000 0.0000 0.0000
10 Pd 0.5000 0.5000 0.0000

Properties
- theoretical density (g/cm3) = 7.052
- excess energy over the best structure of this formula in the dataset (eV per atom) = 0.084
- energy relative to the elements (eV per atom) = -0.764
- M_tot (μB/f.u.) = 0.00

---

24.
DFT (GGA-PBE) results for crystalline MoAu2Br at its relaxed geometry.

Lattice parameters (Å, degrees): 9.7155 9.7155 9.7155 18.44 18.44 18.44
Atoms (fractional coordinates):
1 Br 0.4805 0.4805 0.4805
2 Au 0.2626 0.2626 0.2626
3 Au 0.0077 0.0077 0.0077
4 Mo 0.7493 0.7493 0.7493

Properties
- theoretical density (g/cm3) = 11.809
- excess energy over the best structure of this formula in the dataset (eV per atom) = 0.000
- E_form (uncorrected) (eV/atom) = 0.222
- M_tot (μB/f.u.) = 0.00